1.
Density functional theory data (PBE) for crystalline Er4SnC2S at its relaxed geometry.

a = 3.6288 Å, b = 3.6288 Å, c = 14.1762 Å
α = 90.00°, β = 90.00°, γ = 120.00°
Space group P-6m2 (No. 187)
One atom of each set of equivalent atoms:
Er 0.0000 0.0000 0.1317 (multiplicity 2)
Er 0.3333 0.6667 0.3178 (multiplicity 2)
Sn 0.0000 0.0000 0.5000 (multiplicity 1)
C 0.6667 0.3333 0.2262 (multiplicity 2)
S 0.3333 0.6667 0.0000 (multiplicity 1)

Calculated values
- VASP energy: -6.536 eV/atom

2.
Density functional theory data (PBE) for crystalline TbErCS at its relaxed geometry.

a = 3.6957 Å, b = 3.6957 Å, c = 12.8766 Å
α = 90.00°, β = 90.00°, γ = 120.00°
Space group P-3m1 (No. 164)
One atom of each set of equivalent atoms:
Tb 0.3333 0.6667 0.1060 (multiplicity 2)
Er 0.3333 0.6667 0.3977 (multiplicity 2)
C 0.0000 0.0000 0.0000 (multiplicity 1)
C 0.0000 0.0000 0.5000 (multiplicity 1)
S 0.3333 0.6667 0.7463 (multiplicity 2)

Calculated values
- VASP energy: -6.896 eV/atom

3.
Density functional theory data (PBE) for crystalline TbEr3C2S2 at its relaxed geometry.

a = 3.6811 Å, b = 3.6811 Å, c = 12.8152 Å
α = 90.00°, β = 90.00°, γ = 120.00°
Space group P3m1 (No. 156)
One atom of each set of equivalent atoms:
Tb 0.0000 0.0000 0.0000 (multiplicity 1)
Er 0.0000 0.0000 0.2928 (multiplicity 1)
Er 0.6667 0.3333 0.4993 (multiplicity 1)
Er 0.6667 0.3333 0.7908 (multiplicity 1)
C 0.3333 0.6667 0.3963 (multiplicity 1)
C 0.3333 0.6667 0.8942 (multiplicity 1)
S 0.0000 0.0000 0.6458 (multiplicity 1)
S 0.6667 0.3333 0.1482 (multiplicity 1)

Calculated values
- VASP energy: -6.903 eV/atom

4.
Density functional theory data (PBE) for crystalline TbErCS at its relaxed geometry.

a = 3.6963 Å, b = 3.6963 Å, c = 12.8755 Å
α = 90.00°, β = 90.00°, γ = 120.00°
Space group P6_3mc (No. 186)
One atom of each set of equivalent atoms:
Tb 0.3333 0.6667 0.0000 (multiplicity 2)
Er 0.3333 0.6667 0.2917 (multiplicity 2)
C 0.0000 0.0000 0.3949 (multiplicity 2)
S 0.3333 0.6667 0.6485 (multiplicity 2)

Calculated values
- VASP energy: -6.897 eV/atom

5.
Density functional theory data (PBE) for crystalline TbErCS at its relaxed geometry.

a = 3.6970 Å, b = 3.6970 Å, c = 12.8705 Å
α = 90.00°, β = 90.00°, γ = 120.00°
Space group P-6m2 (No. 187)
One atom of each set of equivalent atoms:
Tb 0.0000 0.0000 0.1478 (multiplicity 2)
Er 0.6667 0.3333 0.3558 (multiplicity 2)
C 0.3333 0.6667 0.2536 (multiplicity 2)
S 0.0000 0.0000 0.5000 (multiplicity 1)
S 0.6667 0.3333 0.0000 (multiplicity 1)

Calculated values
- VASP energy: -6.896 eV/atom

6.
Density functional theory data (PBE) for crystalline ErTm3C2S2 at its relaxed geometry.

a = 3.6481 Å, b = 3.6481 Å, c = 12.6911 Å
α = 90.00°, β = 90.00°, γ = 120.00°
Space group P3m1 (No. 156)
One atom of each set of equivalent atoms:
Er 0.0000 0.0000 0.0000 (multiplicity 1)
Tm 0.0000 0.0000 0.2932 (multiplicity 1)
Tm 0.6667 0.3333 0.4998 (multiplicity 1)
Tm 0.6667 0.3333 0.7925 (multiplicity 1)
C 0.3333 0.6667 0.3965 (multiplicity 1)
C 0.3333 0.6667 0.8959 (multiplicity 1)
S 0.0000 0.0000 0.6464 (multiplicity 1)
S 0.6667 0.3333 0.1472 (multiplicity 1)

Calculated values
- VASP energy: -6.890 eV/atom

7.
Density functional theory data (PBE) for crystalline Er3TmC2S2 at its relaxed geometry.

a = 3.6590 Å, b = 3.6590 Å, c = 12.7324 Å
α = 90.00°, β = 90.00°, γ = 120.00°
Space group P3m1 (No. 156)
One atom of each set of equivalent atoms:
Er 0.0000 0.0000 0.0000 (multiplicity 1)
Er 0.0000 0.0000 0.2929 (multiplicity 1)
Er 0.6667 0.3333 0.5007 (multiplicity 1)
Tm 0.6667 0.3333 0.7932 (multiplicity 1)
C 0.3333 0.6667 0.3969 (multiplicity 1)
C 0.3333 0.6667 0.8962 (multiplicity 1)
S 0.0000 0.0000 0.6475 (multiplicity 1)
S 0.6667 0.3333 0.1467 (multiplicity 1)

Calculated values
- VASP energy: -6.904 eV/atom

8.
Density functional theory data (PBE) for crystalline Y3ErC2S2 at its relaxed geometry.

a = 3.7002 Å, b = 3.7002 Å, c = 12.8811 Å
α = 90.00°, β = 90.00°, γ = 120.00°
Space group P3m1 (No. 156)
One atom of each set of equivalent atoms:
Y 0.0000 0.0000 0.0000 (multiplicity 1)
Y 0.0000 0.0000 0.2922 (multiplicity 1)
Y 0.6667 0.3333 0.5014 (multiplicity 1)
Er 0.6667 0.3333 0.7928 (multiplicity 1)
C 0.3333 0.6667 0.3967 (multiplicity 1)
C 0.3333 0.6667 0.8950 (multiplicity 1)
S 0.0000 0.0000 0.6482 (multiplicity 1)
S 0.6667 0.3333 0.1464 (multiplicity 1)

Calculated values
- VASP energy: -7.601 eV/atom

9.
Density functional theory data (PBE) for crystalline ErZrCS at its relaxed geometry.

a = 3.5410 Å, b = 3.5410 Å, c = 12.5127 Å
α = 90.00°, β = 90.00°, γ = 120.00°
Space group P-3m1 (No. 164)
One atom of each set of equivalent atoms:
Er 0.3333 0.6667 0.3938 (multiplicity 2)
Zr 0.3333 0.6667 0.0968 (multiplicity 2)
C 0.0000 0.0000 0.0000 (multiplicity 1)
C 0.0000 0.0000 0.5000 (multiplicity 1)
S 0.3333 0.6667 0.7618 (multiplicity 2)

Calculated values
- Energy above the lowest structure with this stoichiometry: 0.012 eV/atom
- VASP energy: -7.899 eV/atom

10.
Density functional theory data (PBE) for crystalline ErZrCS at its relaxed geometry.

a = 3.5234 Å, b = 3.5234 Å, c = 12.5420 Å
α = 90.00°, β = 90.00°, γ = 120.00°
Space group P-6m2 (No. 187)
One atom of each set of equivalent atoms:
Er 0.0000 0.0000 0.1497 (multiplicity 2)
Zr 0.3333 0.6667 0.3557 (multiplicity 2)
C 0.6667 0.3333 0.2626 (multiplicity 2)
S 0.0000 0.0000 0.5000 (multiplicity 1)
S 0.3333 0.6667 0.0000 (multiplicity 1)

Calculated values
- Energy above the lowest structure with this stoichiometry: 0.008 eV/atom
- VASP energy: -7.904 eV/atom

11.
Density functional theory data (PBE) for crystalline ErZrCS at its relaxed geometry.

a = 3.5211 Å, b = 3.5211 Å, c = 12.5483 Å
α = 90.00°, β = 90.00°, γ = 120.00°
Space group P6_3mc (No. 186)
One atom of each set of equivalent atoms:
Er 0.3333 0.6667 0.0000 (multiplicity 2)
Zr 0.3333 0.6667 0.7055 (multiplicity 2)
C 0.0000 0.0000 0.1110 (multiplicity 2)
S 0.3333 0.6667 0.3472 (multiplicity 2)

Calculated values
- Energy above the lowest structure with this stoichiometry: 0.000 eV/atom
- VASP energy: -7.911 eV/atom

12.
Density functional theory data (PBE) for crystalline Er3ScC2Se2 at its relaxed geometry.

a = 3.6716 Å, b = 3.6716 Å, c = 12.9388 Å
α = 90.00°, β = 90.00°, γ = 120.00°
Space group P3m1 (No. 156)
One atom of each set of equivalent atoms:
Er 0.0000 0.0000 0.0000 (multiplicity 1)
Er 0.0000 0.0000 0.3067 (multiplicity 1)
Er 0.6667 0.3333 0.7958 (multiplicity 1)
Sc 0.6667 0.3333 0.5001 (multiplicity 1)
C 0.3333 0.6667 0.4067 (multiplicity 1)
C 0.3333 0.6667 0.8975 (multiplicity 1)
Se 0.0000 0.0000 0.6411 (multiplicity 1)
Se 0.6667 0.3333 0.1532 (multiplicity 1)

Calculated values
- VASP energy: -6.842 eV/atom

Please write out number 12 again, unchanged.
Density functional theory data (PBE) for crystalline Er3ScC2Se2 at its relaxed geometry.

a = 3.6716 Å, b = 3.6716 Å, c = 12.9388 Å
α = 90.00°, β = 90.00°, γ = 120.00°
Space group P3m1 (No. 156)
One atom of each set of equivalent atoms:
Er 0.0000 0.0000 0.0000 (multiplicity 1)
Er 0.0000 0.0000 0.3067 (multiplicity 1)
Er 0.6667 0.3333 0.7958 (multiplicity 1)
Sc 0.6667 0.3333 0.5001 (multiplicity 1)
C 0.3333 0.6667 0.4067 (multiplicity 1)
C 0.3333 0.6667 0.8975 (multiplicity 1)
Se 0.0000 0.0000 0.6411 (multiplicity 1)
Se 0.6667 0.3333 0.1532 (multiplicity 1)

Calculated values
- VASP energy: -6.842 eV/atom